The following is a DFT calculation (PBE) of a geometry-optimized Hf2MgIn structure.

total energy: -5.812 eV/atom

a b c (Å): 5.0040 5.0040 5.0040
angles (deg): 60.00 60.00 60.00
Sites, in units of the cell vectors:
Hf 0.0000 0.0000 0.0000
Hf 0.2500 0.2500 0.2500
Mg 0.7500 0.7500 0.7500
In 0.5000 0.5000 0.5000

=====

The following is a DFT calculation (PBE) of a geometry-optimized Pr2NdGe4Ir4 structure.

total energy: -7.005 eV/atom

a b c (Å): 13.0397 13.0397 13.0397
angles (deg): 161.63 161.24 26.37
Sites, in units of the cell vectors:
Pr 0.1454 0.1454 0.0000
Pr 0.8546 0.8546 0.0000
Nd 0.5000 0.0000 0.5000
Ge 0.0493 0.5493 0.5000
Ge 0.3035 0.3035 0.0000
Ge 0.6965 0.6965 0.0000
Ge 0.9507 0.4507 0.5000
Ir 0.2502 0.7502 0.5000
Ir 0.4011 0.4011 0.0000
Ir 0.5989 0.5989 0.0000
Ir 0.7498 0.2498 0.5000

=====

The following is a DFT calculation (PBE) of a geometry-optimized FeCuHgAs structure.

total energy: -3.843 eV/atom

a b c (Å): 4.4892 4.4892 4.4892
angles (deg): 60.00 60.00 60.00
Sites, in units of the cell vectors:
Fe 0.0000 0.0000 0.0000
Cu 0.5000 0.5000 0.5000
Hg 0.7500 0.7500 0.7500
As 0.2500 0.2500 0.2500

=====

The following is a DFT calculation (PBE) of a geometry-optimized Pr3Mg3TlCd2 structure.

total energy: -2.850 eV/atom

a b c (Å): 7.6756 7.6756 4.8383
angles (deg): 90.00 90.00 120.00
Sites, in units of the cell vectors:
Pr 0.0000 0.5743 0.0000
Pr 0.4257 0.4257 0.0000
Pr 0.5743 0.0000 0.0000
Mg 0.0000 0.2422 0.5000
Mg 0.2422 0.0000 0.5000
Mg 0.7578 0.7578 0.5000
Tl 0.0000 0.0000 0.0000
Cd 0.3333 0.6667 0.5000
Cd 0.6667 0.3333 0.5000

=====

The following is a DFT calculation (PBE) of a geometry-optimized NbOs2Pb structure.

total energy: -8.287 eV/atom

a b c (Å): 4.6165 4.6165 4.6165
angles (deg): 60.00 60.00 60.00
Sites, in units of the cell vectors:
Nb 0.0000 0.0000 0.0000
Os 0.2500 0.2500 0.2500
Os 0.5000 0.5000 0.5000
Pb 0.7500 0.7500 0.7500

=====

The following is a DFT calculation (PBE) of a geometry-optimized PdI4 structure.

total energy: -2.348 eV/atom

a b c (Å): 6.7275 6.7275 4.0083
angles (deg): 90.00 90.00 97.18
Sites, in units of the cell vectors:
Pd 0.0000 0.0000 0.0000
I 0.1756 0.8244 0.5000
I 0.3375 0.3375 0.0000
I 0.6625 0.6625 0.0000
I 0.8244 0.1756 0.5000